A geometry-optimized Pu3Tl4NiO12 structure, computed with PBE with a Hubbard U.

```
20
Lattice="-4.262 4.262 4.262 4.262 -4.262 4.262 4.262 4.262 -4.262" Properties=species:S:1:pos:R:3 pbc="T T T"
Pu 4.262 0.000 0.000
Pu 0.000 4.262 0.000
Pu 0.000 0.000 4.262
Tl 2.131 2.131 -2.131
Tl 2.131 -2.131 2.131
Tl -2.131 2.131 2.131
Tl 2.131 2.131 2.131
Ni 0.000 0.000 0.000
O 2.273 0.000 0.000
O 6.250 0.000 0.000
O 4.262 2.131 0.000
O 4.262 0.000 2.131
O 0.000 2.273 0.000
O 0.000 0.000 2.273
O 2.131 4.262 0.000
O 2.131 0.000 4.262
O 0.000 6.250 0.000
O 0.000 0.000 6.250
O 0.000 4.262 2.131
O 0.000 2.131 4.262
```

## Properties
Symmetry: Im-3m (229)
E (eV/atom): -7.548